Record 1
Here is a relaxed Cd6Pt2Rh crystal from the Alexandria database. Energies are from PBE.

The structure belongs to space group C2/m (No. 12); the cell edges are 14.381, 6.420 and 4.532 Å and the angles 90.00°, 107.83° and 90.00°. The distinct sites, in fractional coordinates, are Cd at (0.000, 0.246, 0.000), Cd at (0.165, 0.246, 0.665), Pt at (0.166, 0.500, 0.166) and Rh at (0.000, 0.000, 0.500).

The energy of formation comes out at -0.1447 eV/atom. Its total magnetization is 0.0 Bohr magnetons per cell. For the distance to the lowest polymorph of the same formula, the calculation gives 0.034 eV per atom.



Record 2
Here is a relaxed CdMoAu3 crystal from the Alexandria database. Energies are from PBE.

The structure belongs to space group Pm-3m (No. 221); the cell edges are 5.081, 5.081 and 5.081 Å and the angles 90.00°, 90.00° and 90.00°. The distinct sites, in fractional coordinates, are Cd at (0.000, 0.000, 0.000), Mo at (0.500, 0.500, 0.500) and Au at (0.000, 0.500, 0.500).

The energy of formation comes out at 1.0120 eV/atom. Its total magnetization is 0.0 Bohr magnetons per cell. For the distance to the lowest polymorph of the same formula, the calculation gives 0.000 eV per atom.



Record 3
Here is a relaxed Ce2GaS4 crystal from the Alexandria database. Energies are from PBE.

The structure belongs to space group P2_1/m (No. 11); the cell edges are 6.652, 6.511 and 7.792 Å and the angles 90.00°, 107.13° and 90.00°. The distinct sites, in fractional coordinates, are Ce at (0.228, 0.250, 0.059), Ce at (0.241, 0.250, 0.559), Ga at (0.244, 0.750, 0.810), S at (0.001, 0.508, 0.253), S at (0.428, 0.750, 0.606) and S at (0.429, 0.750, 0.106).

Its total magnetization is 5.1 Bohr magnetons per cell. The formation energy from raw total energies is -1.435 eV/atom.



Record 4
Here is a relaxed BaSmZn2 crystal from the Alexandria database. Energies are from PBE.

The structure belongs to space group P4/mmm (No. 123); the cell edges are 3.835, 3.835 and 7.802 Å and the angles 90.00°, 90.00° and 90.00°. The distinct sites, in fractional coordinates, are Ba at (0.000, 0.000, 0.000), Sm at (0.000, 0.000, 0.500) and Zn at (0.500, 0.500, 0.301).

The energy of formation comes out at -0.2167 eV/atom. Its total magnetization is 0.1 Bohr magnetons per cell. For the distance to the lowest polymorph of the same formula, the calculation gives 0.000 eV per atom.



Record 5
Here is a relaxed Cs5Sn4 crystal from the Alexandria database. Energies are from PBE.

The structure belongs to space group C2/m (No. 12); the cell edges are 12.903, 6.626 and 12.213 Å and the angles 90.00°, 117.58° and 90.00°. The distinct sites, in fractional coordinates, are Cs at (0.000, 0.000, 0.000), Cs at (0.107, 0.500, 0.843), Cs at (0.201, 0.500, 0.545), Sn at (0.049, 0.000, 0.635) and Sn at (0.216, 0.500, 0.205).

The energy of formation comes out at -0.1744 eV/atom. Its total magnetization is 0.0 Bohr magnetons per cell.



Record 6
Here is a relaxed Ca2SnPd6 crystal from the Alexandria database. Energies are from PBE.

The structure belongs to space group C2/m (No. 12); the cell edges are 9.952, 5.762 and 6.352 Å and the angles 90.00°, 104.46° and 90.00°. The distinct sites, in fractional coordinates, are Ca at (0.142, 0.000, 0.336), Sn at (0.000, 0.500, 0.500), Pd at (0.119, 0.500, 0.179) and Pd at (0.138, 0.237, 0.822).

The energy of formation comes out at -0.6060 eV/atom. Its total magnetization is 0.0 Bohr magnetons per cell. For the distance to the lowest polymorph of the same formula, the calculation gives 0.000 eV per atom.



Short version: final energy = -26.23; -16.52; -41.45; -10.06; -21.85; -44.62 eV per formula unit, in the order given.